LuMgRh2 | GGA-PBEsol | optimized geometry

Geometry as CIF:
```
data_LuMgRh2
_symmetry_space_group_name_H-M 'P 1'
_symmetry_Int_Tables_number 1
_symmetry_space_group_name_Hall 'P 1'
_cell_length_a 4.516
_cell_length_b 4.516
_cell_length_c 4.516
_cell_angle_alpha 60.00
_cell_angle_beta 60.00
_cell_angle_gamma 60.00
loop_
_atom_site_label
_atom_site_type_symbol
_atom_site_fract_x
_atom_site_fract_y
_atom_site_fract_z
Lu1 Lu 0.000 0.000 0.000
Mg1 Mg 0.500 0.500 0.500
Rh1 Rh 0.250 0.250 0.250
Rh2 Rh 0.750 0.750 0.750
```

Values from the calculation:
- Density of states at the Fermi level: 0.435 states/eV per atom
- Space group: No. 225
- Energy of formation from the pure elements: -753 meV/atom